[1]
This record from Alexandria via LeMat-Bulk describes an optimized crystal structure of PrSnH. The functional is PBE.

Output
- crystal system = tetragonal
- space group = I4mm (107)
- calculated total energy (eV/atom) = -4.390

a b c (Å): 6.313 6.313 6.313
angles (deg): 149.31 149.31 43.96
Sites, in units of the cell vectors:
Pr1 0.000 0.000 0.000
Sn1 0.283 0.283 0.000
H1 0.545 0.545 0.000

=====

[2]
This record from Alexandria via LeMat-Bulk describes an optimized crystal structure of Pr5Sn4H. The functional is PBE.

Output
- crystal system = tetragonal
- space group = I4 (79)
- calculated total energy (eV/atom) = -4.826

a b c (Å): 7.720 7.720 7.720
angles (deg): 99.91 99.91 130.98
Sites, in units of the cell vectors:
Pr1 0.000 0.000 0.000
Pr2 0.262 0.646 0.810
Pr3 0.452 0.262 0.616
Pr4 0.646 0.836 0.384
Pr5 0.836 0.452 0.190
Sn1 0.145 0.352 0.394
Sn2 0.352 0.957 0.207
Sn3 0.751 0.145 0.793
Sn4 0.957 0.751 0.606
H1 0.614 0.614 0.000

=====

[3]
This record from Alexandria via LeMat-Bulk describes an optimized crystal structure of Pr6Sn3H. The functional is PBE.

Output
- crystal system = orthorhombic
- space group = Cmc2_1 (36)
- calculated total energy (eV/atom) = -4.810

a b c (Å): 9.654 9.654 7.333
angles (deg): 90.00 90.00 101.63
Sites, in units of the cell vectors:
Pr1 0.041 0.959 0.500
Pr2 0.098 0.583 0.509
Pr3 0.224 0.776 0.972
Pr4 0.313 0.370 0.971
Pr5 0.370 0.313 0.471
Pr6 0.417 0.902 0.509
Pr7 0.583 0.098 0.009
Pr8 0.630 0.687 0.971
Pr9 0.687 0.630 0.471
Pr10 0.776 0.224 0.472
Pr11 0.902 0.417 0.009
Pr12 0.959 0.041 0.000
Sn1 0.065 0.278 0.689
Sn2 0.278 0.065 0.189
Sn3 0.379 0.621 0.269
Sn4 0.621 0.379 0.769
Sn5 0.722 0.935 0.689
Sn6 0.935 0.722 0.189
H1 0.188 0.812 0.641
H2 0.812 0.188 0.141

=====

[4]
This record from Alexandria via LeMat-Bulk describes an optimized crystal structure of PrSnH. The functional is PBE.

Output
- crystal system = orthorhombic
- space group = Cmme (67)
- calculated total energy (eV/atom) = -4.557

a b c (Å): 3.963 3.963 8.175
angles (deg): 90.00 90.00 94.71
Sites, in units of the cell vectors:
Pr1 0.250 0.750 0.830
Pr2 0.750 0.250 0.170
Sn1 0.250 0.750 0.415
Sn2 0.750 0.250 0.585
H1 0.250 0.250 0.000
H2 0.750 0.750 0.000

=====

[5]
This record from Alexandria via LeMat-Bulk describes an optimized crystal structure of Pr3SnH. The functional is PBE.

Output
- crystal system = monoclinic
- space group = P2_1/c (14)
- calculated total energy (eV/atom) = -4.817

a b c (Å): 7.724 8.497 8.548
angles (deg): 90.00 109.45 90.00
Sites, in units of the cell vectors:
Pr1 0.022 0.171 0.347
Pr2 0.022 0.329 0.847
Pr3 0.261 0.039 0.096
Pr4 0.261 0.461 0.596
Pr5 0.390 0.688 0.975
Pr6 0.390 0.812 0.475
Pr7 0.610 0.188 0.525
Pr8 0.610 0.312 0.025
Pr9 0.739 0.539 0.404
Pr10 0.739 0.961 0.904
Pr11 0.978 0.671 0.153
Pr12 0.978 0.829 0.653
Sn1 0.314 0.083 0.729
Sn2 0.314 0.417 0.229
Sn3 0.686 0.583 0.771
Sn4 0.686 0.917 0.271
H1 0.065 0.671 0.454
H2 0.065 0.829 0.954
H3 0.935 0.171 0.046
H4 0.935 0.329 0.546

=====

[6]
This record from Alexandria via LeMat-Bulk describes an optimized crystal structure of Tb4Pr2Sn3H2. The functional is PBE.

Output
- crystal system = tetragonal
- space group = I4/mmm (139)
- calculated total energy (eV/atom) = -4.837

a b c (Å): 13.052 13.052 13.052
angles (deg): 159.02 159.02 29.84
Sites, in units of the cell vectors:
Tb1 0.082 0.582 0.500
Tb2 0.418 0.918 0.500
Tb3 0.582 0.082 0.500
Tb4 0.918 0.418 0.500
Pr1 0.199 0.199 0.000
Pr2 0.801 0.801 0.000
Sn1 0.329 0.329 0.000
Sn2 0.500 0.500 0.000
Sn3 0.671 0.671 0.000
H1 0.098 0.098 0.000
H2 0.902 0.902 0.000

=====

What did the first record say?
This record from Alexandria via LeMat-Bulk describes an optimized crystal structure of PrSnH. The functional is PBE.

Output
- crystal system = tetragonal
- space group = I4mm (107)
- calculated total energy (eV/atom) = -4.390

a b c (Å): 6.313 6.313 6.313
angles (deg): 149.31 149.31 43.96
Sites, in units of the cell vectors:
Pr1 0.000 0.000 0.000
Sn1 0.283 0.283 0.000
H1 0.545 0.545 0.000

=====

What did the fifth record say?
This record from Alexandria via LeMat-Bulk describes an optimized crystal structure of Pr3SnH. The functional is PBE.

Output
- crystal system = monoclinic
- space group = P2_1/c (14)
- calculated total energy (eV/atom) = -4.817

a b c (Å): 7.724 8.497 8.548
angles (deg): 90.00 109.45 90.00
Sites, in units of the cell vectors:
Pr1 0.022 0.171 0.347
Pr2 0.022 0.329 0.847
Pr3 0.261 0.039 0.096
Pr4 0.261 0.461 0.596
Pr5 0.390 0.688 0.975
Pr6 0.390 0.812 0.475
Pr7 0.610 0.188 0.525
Pr8 0.610 0.312 0.025
Pr9 0.739 0.539 0.404
Pr10 0.739 0.961 0.904
Pr11 0.978 0.671 0.153
Pr12 0.978 0.829 0.653
Sn1 0.314 0.083 0.729
Sn2 0.314 0.417 0.229
Sn3 0.686 0.583 0.771
Sn4 0.686 0.917 0.271
H1 0.065 0.671 0.454
H2 0.065 0.829 0.954
H3 0.935 0.171 0.046
H4 0.935 0.329 0.546

=====

Q: The lowest calculated total energy belongs to which entry?
A: Tb4Pr2Sn3H2